An optimized crystal structure of ScGaMo3. Source: Alexandria via LeMat-Bulk, functional PBE.

Cell and atoms, written as POSCAR:
```
ScGaMo3
1.0
4.629 0.000 0.000
0.000 4.629 0.000
0.000 0.000 4.629
Sc Ga Mo
1 1 3
Direct
0.000 0.000 0.000 Sc
0.500 0.500 0.500 Ga
0.000 0.000 0.500 Mo
0.000 0.500 0.000 Mo
0.500 0.000 0.000 Mo
```

Computed properties:
As for the energy: -32.5 eV for the cell shown. Its energy above the most stable polymorph in this dataset is 715 meV/atom. The value obtained for the formation energy from the elements is 1.87 eV/atom. The calculated volume is 19.833 Å³/atom.



An optimized crystal structure of ScGa4Mo. Source: Alexandria via LeMat-Bulk, functional PBE.

Cell and atoms, written as POSCAR:
```
ScGa4Mo
1.0
4.658 -2.349 0.000
4.658 2.349 0.000
-3.518 0.000 4.525
Sc Ga Mo
1 4 1
Direct
0.000 0.000 0.000 Sc
0.333 0.333 0.095 Ga
0.333 0.333 0.571 Ga
0.667 0.667 0.429 Ga
0.667 0.667 0.905 Ga
0.000 0.000 0.500 Mo
```

Computed properties:
As for the energy: -30.4 eV for the cell shown. Its energy above the most stable polymorph in this dataset is 0 meV/atom. The value obtained for the formation energy from the elements is -0.19 eV/atom. The calculated volume is 16.501 Å³/atom.



An optimized crystal structure of ScGa4Mo. Source: Alexandria via LeMat-Bulk, functional PBE.

Cell and atoms, written as POSCAR:
```
ScGa4Mo
1.0
0.000 3.636 3.636
3.636 0.000 3.636
3.636 3.636 0.000
Sc Ga Mo
1 4 1
Direct
0.000 0.000 0.000 Sc
0.124 0.625 0.625 Ga
0.625 0.124 0.625 Ga
0.625 0.625 0.124 Ga
0.625 0.625 0.625 Ga
0.250 0.250 0.250 Mo
```

Computed properties:
As for the energy: -30.3 eV for the cell shown. Its energy above the most stable polymorph in this dataset is 23 meV/atom. The value obtained for the formation energy from the elements is -0.17 eV/atom. The calculated volume is 16.026 Å³/atom.



An optimized crystal structure of Sc3GaMo. Source: Alexandria via LeMat-Bulk, functional PBE.

Cell and atoms, written as POSCAR:
```
Sc3GaMo
1.0
5.013 0.000 0.000
0.000 5.013 0.000
0.000 0.000 5.013
Sc Ga Mo
3 1 1
Direct
0.000 0.000 0.500 Sc
0.000 0.500 0.000 Sc
0.500 0.000 0.000 Sc
0.500 0.500 0.500 Ga
0.000 0.000 0.000 Mo
```

Computed properties:
As for the energy: -30.6 eV for the cell shown. Its energy above the most stable polymorph in this dataset is 0 meV/atom. The value obtained for the formation energy from the elements is 0.46 eV/atom. The calculated volume is 25.192 Å³/atom.



An optimized crystal structure of ScGa2Mo. Source: Alexandria via LeMat-Bulk, functional PBE.

Cell and atoms, written as POSCAR:
```
ScGa2Mo
1.0
-1.996 1.996 9.547
1.996 -1.996 9.547
1.996 1.996 -9.547
Sc Ga Mo
2 4 2
Direct
0.000 0.000 0.000 Sc
0.750 0.250 0.500 Sc
0.168 0.625 0.043 Ga
0.375 0.418 0.543 Ga
0.582 0.125 0.957 Ga
0.875 0.832 0.457 Ga
0.250 0.750 0.500 Mo
0.500 0.500 0.000 Mo
```

Computed properties:
As for the energy: -44.8 eV for the cell shown. Its energy above the most stable polymorph in this dataset is 401 meV/atom. The value obtained for the formation energy from the elements is 0.21 eV/atom. The calculated volume is 19.009 Å³/atom.



An optimized crystal structure of Sc2Ga5Mo. Source: Alexandria via LeMat-Bulk, functional PBE.

Cell and atoms, written as POSCAR:
```
Sc2Ga5Mo
1.0
-3.114 3.114 3.497
3.114 -3.114 3.497
3.114 3.114 -3.497
Sc Ga Mo
2 5 1
Direct
0.000 0.500 0.500 Sc
0.500 0.000 0.500 Sc
0.461 0.461 0.000 Ga
0.542 0.542 0.577 Ga
0.542 0.965 0.000 Ga
0.965 0.542 0.000 Ga
0.965 0.965 0.423 Ga
0.087 0.087 0.000 Mo
```

Computed properties:
As for the energy: -41.8 eV for the cell shown. The value obtained for the formation energy from the elements is -0.40 eV/atom. The calculated volume is 16.952 Å³/atom.



An optimized crystal structure of Sc2Ga2Mo. Source: Alexandria via LeMat-Bulk, functional PBE.

Cell and atoms, written as POSCAR:
```
Sc2Ga2Mo
1.0
6.964 0.000 0.000
0.000 6.964 0.000
0.000 0.000 3.816
Sc Ga Mo
4 4 2
Direct
0.178 0.322 0.000 Sc
0.322 0.822 0.000 Sc
0.678 0.178 0.000 Sc
0.822 0.678 0.000 Sc
0.130 0.630 0.500 Ga
0.370 0.130 0.500 Ga
0.630 0.870 0.500 Ga
0.870 0.370 0.500 Ga
0.000 0.000 0.500 Mo
0.500 0.500 0.500 Mo
```

Computed properties:
As for the energy: -62.1 eV for the cell shown. The value obtained for the formation energy from the elements is -0.30 eV/atom. The calculated volume is 18.510 Å³/atom.



An optimized crystal structure of ScGa5Mo. Source: Alexandria via LeMat-Bulk, functional PBE.

Cell and atoms, written as POSCAR:
```
ScGa5Mo
1.0
3.895 0.000 0.000
0.000 3.895 0.000
0.000 0.000 8.310
Sc Ga Mo
1 5 1
Direct
0.000 0.000 0.000 Sc
0.000 0.500 0.281 Ga
0.000 0.500 0.719 Ga
0.500 0.000 0.281 Ga
0.500 0.000 0.719 Ga
0.500 0.500 0.000 Ga
0.500 0.500 0.500 Mo
```

Computed properties:
As for the energy: -33.0 eV for the cell shown. The value obtained for the formation energy from the elements is -0.10 eV/atom. The calculated volume is 18.014 Å³/atom.